Computed, not measured: an optimized crystal structure of Cs2YMgNb at the GGA-PBE level of DFT.

Computed properties:
Energy of formation from the pure elements in eV/f.u.: 7.92
Magnetic moment in μB/cell: 4.5
Calculated total energy in eV per cell: -11.91

Cell lengths 6.564, 6.336, 6.564 Å; angles 90.00, 90.00, 90.00 degrees
Each line ends with the local moment (μB).
Fractional coordinates of all 5 atoms:
Cs  0.000  0.000  0.500  0.02
Cs  0.500  0.000  0.000  0.01
Y  0.000  0.500  0.000  0.05
Nb  0.500  0.500  0.500  3.03
Mg  0.000  0.000  0.000  -0.01



Computed, not measured: an optimized crystal structure of LaAl4Cu2Au at the GGA-PBE level of DFT.

Computed properties:
Energy of formation from the pure elements in eV/f.u.: -2.73
Magnetic moment in μB/cell: 0.0
Calculated total energy in eV per cell: -34.10

Cell lengths 4.255, 4.255, 9.704 Å; angles 77.34, 77.34, 60.00 degrees
Fractional coordinates of all 8 atoms:
La  0.000  0.000  0.000
Al  0.406  0.406  0.783
Al  0.877  0.877  0.370
Al  0.123  0.123  0.630
Al  0.594  0.594  0.217
Cu  0.754  0.754  0.737
Cu  0.246  0.246  0.263
Au  0.500  0.500  0.500



Computed, not measured: an optimized crystal structure of TbPd6Pt2 at the GGA-PBE level of DFT.

Computed properties:
Energy relative to the lowest polymorph listed for this composition in meV per atom: 0
Energy of formation from the pure elements in eV/f.u.: -2.56
Magnetic moment in μB/cell: 0.0
Calculated total energy in eV per cell: -50.43

Cell lengths 4.112, 6.055, 7.193 Å; angles 65.11, 81.89, 70.41 degrees
Fractional coordinates of all 9 atoms:
Tb  0.000  0.000  0.000
Pd  0.168  0.822  0.676
Pd  0.832  0.178  0.324
Pd  0.330  0.341  0.000
Pd  0.168  0.498  0.324
Pd  0.832  0.502  0.676
Pd  0.670  0.659  0.000
Pt  0.500  0.842  0.317
Pt  0.500  0.158  0.683



Computed, not measured: an optimized crystal structure of Pr4AlZn3 at the GGA-PBE level of DFT.

Computed properties:
Energy relative to the lowest polymorph listed for this composition in meV per atom: 0
Energy of formation from the pure elements in eV/f.u.: -2.46
Magnetic moment in μB/cell: 0.0
Calculated total energy in eV per cell: -29.14

Cell lengths 5.262, 5.262, 9.138 Å; angles 73.27, 73.27, 60.00 degrees
Fractional coordinates of all 8 atoms:
Pr  0.874  0.874  0.379
Pr  0.376  0.376  0.871
Pr  0.126  0.126  0.621
Pr  0.624  0.624  0.129
Zn  0.251  0.251  0.246
Zn  0.749  0.749  0.754
Zn  0.500  0.500  0.500
Al  0.000  0.000  0.000



Computed, not measured: an optimized crystal structure of BeCuPb at the GGA-PBE level of DFT.

Computed properties:
Energy relative to the lowest polymorph listed for this composition in meV per atom: 131
Energy of formation from the pure elements in eV/f.u.: 1.60
Magnetic moment in μB/cell: 0.0
Calculated total energy in eV per cell: -9.93

Cell lengths 3.372, 3.372, 5.466 Å; angles 90.00, 90.00, 120.00 degrees
Fractional coordinates of all 3 atoms:
Pb  0.333  0.667  0.675
Be  0.000  0.000  0.059
Cu  0.667  0.333  0.266



Computed, not measured: an optimized crystal structure of SrHfGa2B at the GGA-PBE level of DFT.

Computed properties:
Energy of formation from the pure elements in eV/f.u.: 1.55
Magnetic moment in μB/cell: 0.0
Calculated total energy in eV per cell: -22.81

Cell lengths 5.251, 4.505, 5.251 Å; angles 90.00, 90.00, 90.00 degrees
Fractional coordinates of all 5 atoms:
Sr  0.500  0.500  0.500
B  0.000  0.500  0.000
Hf  0.000  0.000  0.000
Ga  0.000  0.000  0.500
Ga  0.500  0.000  0.000



Among the records above, which one has the highest energy of formation from the pure elements?
Cs2YMgNb



Which formula does entry 5 have?
BeCuPb



Please write out number 1 again, unchanged.
Computed, not measured: an optimized crystal structure of Cs2YMgNb at the GGA-PBE level of DFT.

Computed properties:
Energy of formation from the pure elements in eV/f.u.: 7.92
Magnetic moment in μB/cell: 4.5
Calculated total energy in eV per cell: -11.91

Cell lengths 6.564, 6.336, 6.564 Å; angles 90.00, 90.00, 90.00 degrees
Each line ends with the local moment (μB).
Fractional coordinates of all 5 atoms:
Cs  0.000  0.000  0.500  0.02
Cs  0.500  0.000  0.000  0.01
Y  0.000  0.500  0.000  0.05
Nb  0.500  0.500  0.500  3.03
Mg  0.000  0.000  0.000  -0.01